[1]
Er3Co2Sn4: optimized geometry, GGA-PBE.

Values from the calculation:
The formation energy is -48.7 kJ per mole of atoms.

```
data_Er3Co2Sn4
_space_group_name_H-M_alt 'C 1 2/m 1'
_space_group_IT_number 12
_cell_length_a 11.154
_cell_length_b 4.424
_cell_length_c 8.438
_cell_angle_alpha 90.00
_cell_angle_beta 105.89
_cell_angle_gamma 90.00
loop_
_space_group_symop_operation_xyz
'x,y,z'
'-x,-y,-z'
'-x,y,-z'
'x,-y,z'
'x+1/2,y+1/2,z'
'-x+1/2,-y+1/2,-z'
'-x+1/2,y+1/2,-z'
'x+1/2,-y+1/2,z'
loop_
_atom_site_label
_atom_site_type_symbol
_atom_site_fract_x
_atom_site_fract_y
_atom_site_fract_z
_atom_site_occupancy
Er1 Er 0.000 0.000 0.000 1
Er2 Er 0.131 0.500 0.685 1
Co1 Co 0.200 0.500 0.389 1
Sn1 Sn 0.088 0.000 0.388 1
Sn2 Sn 0.201 0.500 0.085 1
```

***

[2]
CaBeCu2Pt: optimized geometry, GGA-PBE.

Values from the calculation:
The formation energy is -22.6 kJ per mole of atoms.

```
data_CaBeCu2Pt
_space_group_name_H-M_alt 'P 4/m m m'
_space_group_IT_number 123
_space_group_name_Hall '-P 4 2'
_cell_length_a 4.284
_cell_length_b 4.284
_cell_length_c 4.372
_cell_angle_alpha 90.00
_cell_angle_beta 90.00
_cell_angle_gamma 90.00
loop_
_atom_site_label
_atom_site_type_symbol
_atom_site_fract_x
_atom_site_fract_y
_atom_site_fract_z
_atom_site_occupancy
Ca1 Ca 0.000 0.000 0.000 1
Be1 Be 0.500 0.500 0.500 1
Cu1 Cu 0.000 0.500 0.500 1
Pt1 Pt 0.500 0.500 0.000 1
```

***

[3]
KInSnHg2: optimized geometry, GGA-PBE.

Values from the calculation:
The formation energy is -14.4 kJ per mole of atoms. The energy above the lowest structure with this stoichiometry is 0 meV per atom.

```
data_KInSnHg2
_space_group_name_H-M_alt 'I -4 m 2'
_space_group_IT_number 119
_space_group_name_Hall 'I -4 -2'
_cell_length_a 4.761
_cell_length_b 4.761
_cell_length_c 13.368
_cell_angle_alpha 90.00
_cell_angle_beta 90.00
_cell_angle_gamma 90.00
loop_
_atom_site_label
_atom_site_type_symbol
_atom_site_fract_x
_atom_site_fract_y
_atom_site_fract_z
_atom_site_occupancy
K1 K 0.000 0.000 0.000 1
In1 In 0.000 0.500 0.250 1
Sn1 Sn 0.000 0.500 0.750 1
Hg1 Hg 0.000 0.000 0.393 1
```

***

[4]
Cs2SnI3Cl: optimized geometry, GGA-PBE.

Values from the calculation:
The formation energy without anion corrections is -1236 meV/atom.

```
data_Cs2SnI3Cl
_space_group_name_H-M_alt 'I m m m'
_space_group_IT_number 71
_space_group_name_Hall '-I 2 2'
_cell_length_a 5.632
_cell_length_b 6.246
_cell_length_c 19.744
_cell_angle_alpha 90.00
_cell_angle_beta 90.00
_cell_angle_gamma 90.00
loop_
_atom_site_label
_atom_site_type_symbol
_atom_site_fract_x
_atom_site_fract_y
_atom_site_fract_z
_atom_site_occupancy
Cs1 Cs 0.000 0.000 0.140 1
Sn1 Sn 0.000 0.000 0.500 1
I1 I 0.000 0.000 0.337 1
I2 I 0.000 0.500 0.500 1
Cl1 Cl 0.000 0.500 0.000 1
```

***

[5]
LaDy8Hg2: optimized geometry, GGA-PBE.

Values from the calculation:
The formation energy is -4.4 kJ per mole of atoms.

```
data_LaDy8Hg2
_space_group_name_H-M_alt 'C 1 2/m 1'
_space_group_IT_number 12
_cell_length_a 8.794
_cell_length_b 14.865
_cell_length_c 5.596
_cell_angle_alpha 90.00
_cell_angle_beta 110.32
_cell_angle_gamma 90.00
loop_
_space_group_symop_operation_xyz
'x,y,z'
'-x,-y,-z'
'-x,y,-z'
'x,-y,z'
'x+1/2,y+1/2,z'
'-x+1/2,-y+1/2,-z'
'-x+1/2,y+1/2,-z'
'x+1/2,-y+1/2,z'
loop_
_atom_site_label
_atom_site_type_symbol
_atom_site_fract_x
_atom_site_fract_y
_atom_site_fract_z
_atom_site_occupancy
La1 La 0.000 0.000 0.000 1
Dy1 Dy 0.000 0.229 0.000 1
Dy2 Dy 0.095 0.500 0.796 1
Dy3 Dy 0.205 0.115 0.608 1
Hg1 Hg 0.000 0.307 0.500 1
```

***

[6]
Tm3URu4: optimized geometry, GGA-PBE.

Values from the calculation:
The formation energy is -22.8 kJ per mole of atoms. The energy above the lowest structure with this stoichiometry is 198 meV per atom.

```
data_Tm3URu4
_space_group_name_H-M_alt 'I m m 2'
_space_group_IT_number 44
_cell_length_a 5.605
_cell_length_b 8.177
_cell_length_c 7.738
_cell_angle_alpha 90.00
_cell_angle_beta 90.00
_cell_angle_gamma 90.00
loop_
_space_group_symop_operation_xyz
'x,y,z'
'-x,-y,z'
'-x,y,z'
'x,-y,z'
'x+1/2,y+1/2,z+1/2'
'-x+1/2,-y+1/2,z+1/2'
'-x+1/2,y+1/2,z+1/2'
'x+1/2,-y+1/2,z+1/2'
loop_
_atom_site_label
_atom_site_type_symbol
_atom_site_fract_x
_atom_site_fract_y
_atom_site_fract_z
_atom_site_occupancy
Tm1 Tm 0.000 0.000 0.000 1
Tm2 Tm 0.000 0.259 0.626 1
U1 U 0.000 0.500 0.102 1
Ru1 Ru 0.000 0.267 0.266 1
Ru2 Ru 0.249 0.500 0.841 1
```

***

[7]
KLaIr4: optimized geometry, GGA-PBE.

Values from the calculation:
The formation energy is -12.9 kJ per mole of atoms.

```
data_KLaIr4
_space_group_name_H-M_alt 'F -4 3 m'
_space_group_IT_number 216
_space_group_name_Hall 'F -4 2 3'
_cell_length_a 7.720
_cell_length_b 7.720
_cell_length_c 7.720
_cell_angle_alpha 90.00
_cell_angle_beta 90.00
_cell_angle_gamma 90.00
loop_
_atom_site_label
_atom_site_type_symbol
_atom_site_fract_x
_atom_site_fract_y
_atom_site_fract_z
_atom_site_occupancy
K1 K 0.000 0.000 0.000 1
La1 La 0.250 0.250 0.750 1
Ir1 Ir 0.125 0.125 0.375 1
```

***

[8]
La3TcC2: optimized geometry, GGA-PBE.

Values from the calculation:
The formation energy is -1.7 kJ per mole of atoms.

```
data_La3TcC2
_space_group_name_H-M_alt 'C m c m'
_space_group_IT_number 63
_space_group_name_Hall '-C 2c 2'
_cell_length_a 9.693
_cell_length_b 7.789
_cell_length_c 6.677
_cell_angle_alpha 90.00
_cell_angle_beta 90.00
_cell_angle_gamma 90.00
loop_
_atom_site_label
_atom_site_type_symbol
_atom_site_fract_x
_atom_site_fract_y
_atom_site_fract_z
_atom_site_occupancy
La1 La 0.000 0.239 0.250 1
La2 La 0.224 0.000 0.000 1
Tc1 Tc 0.000 0.349 0.750 1
C1 C 0.000 0.099 0.750 1
C2 C 0.000 0.500 0.000 1
```